Here is a relaxed structure of Ba3Cu5F12 from the Alexandria database. Energies are from PBE.

As for the energy relative to the elements, uncorrected: -2.30 eV per atom. Its symmetry is Ia-3d, No. 230.

a = 11.952 Å, b = 11.952 Å, c = 11.952 Å
α = 109.47°, β = 109.47°, γ = 109.47°
Element x y z (fractional)
F  0.203  0.676  0.084
F  0.527  0.203  0.119
F  0.027  0.619  0.703
F  0.527  0.324  0.908
F  0.297  0.416  0.824
F  0.973  0.381  0.297
F  0.416  0.297  0.324
F  0.584  0.881  0.408
F  0.119  0.416  0.092
F  0.881  0.584  0.908
F  0.824  0.916  0.297
F  0.824  0.908  0.027
F  0.324  0.797  0.416
F  0.676  0.203  0.584
F  0.916  0.092  0.619
F  0.592  0.973  0.676
F  0.408  0.381  0.584
F  0.797  0.324  0.916
F  0.381  0.973  0.797
F  0.703  0.584  0.176
F  0.473  0.797  0.881
F  0.473  0.676  0.092
F  0.203  0.527  0.619
F  0.797  0.473  0.381
F  0.119  0.703  0.527
F  0.416  0.119  0.592
F  0.908  0.084  0.881
F  0.619  0.592  0.916
F  0.324  0.527  0.408
F  0.408  0.027  0.324
F  0.176  0.092  0.973
F  0.092  0.916  0.119
F  0.676  0.473  0.592
F  0.381  0.408  0.084
F  0.297  0.881  0.973
F  0.176  0.084  0.703
F  0.084  0.908  0.381
F  0.908  0.824  0.527
F  0.703  0.119  0.027
F  0.973  0.592  0.176
F  0.592  0.619  0.416
F  0.584  0.703  0.676
F  0.092  0.176  0.473
F  0.881  0.297  0.473
F  0.027  0.408  0.824
F  0.084  0.176  0.203
F  0.619  0.027  0.203
F  0.916  0.824  0.797
Cu  0.375  0.125  0.750
Cu  0.500  0.000  0.000
Cu  0.875  0.250  0.625
Cu  0.625  0.875  0.250
Cu  0.000  0.000  0.000
Cu  0.000  0.500  0.500
Cu  0.375  0.250  0.125
Cu  0.500  0.000  0.500
Cu  0.500  0.500  0.500
Cu  0.125  0.750  0.375
Cu  0.875  0.625  0.750
Cu  0.250  0.875  0.125
Cu  0.625  0.750  0.875
Cu  0.750  0.125  0.875
Cu  0.000  0.500  0.000
Cu  0.500  0.500  0.000
Cu  0.250  0.375  0.625
Cu  0.000  0.000  0.500
Cu  0.750  0.625  0.375
Cu  0.125  0.375  0.250
Ba  0.750  0.375  0.125
Ba  0.250  0.625  0.875
Ba  0.625  0.250  0.375
Ba  0.750  0.875  0.625
Ba  0.250  0.125  0.375
Ba  0.375  0.750  0.625
Ba  0.875  0.750  0.125
Ba  0.375  0.625  0.250
Ba  0.125  0.250  0.875
Ba  0.125  0.875  0.750
Ba  0.875  0.125  0.250
Ba  0.625  0.375  0.750

***

Here is a relaxed structure of Ba2CuF6 from the Alexandria database. Energies are from PBE.

As for the energy relative to the elements, uncorrected: -3.09 eV per atom. Its symmetry is I4/mmm, No. 139.

a = 8.491 Å, b = 8.491 Å, c = 8.491 Å
α = 151.30°, β = 151.30°, γ = 41.04°
Element x y z (fractional)
F  0.000  0.500  0.500
F  0.380  0.380  0.000
F  0.500  0.000  0.500
F  0.750  0.250  0.500
F  0.620  0.620  0.000
F  0.250  0.750  0.500
Cu  0.500  0.500  0.000
Ba  0.851  0.851  0.000
Ba  0.149  0.149  0.000

***

Here is a relaxed structure of BaCuF2 from the Alexandria database. Energies are from PBE.

As for the energy relative to the elements, uncorrected: -1.91 eV per atom. Its symmetry is I-42d, No. 122.

a = 5.108 Å, b = 5.108 Å, c = 7.914 Å
α = 71.18°, β = 71.18°, γ = 90.00°
Element x y z (fractional)
Cu  0.500  0.500  0.000
Cu  0.250  0.750  0.500
F  0.875  0.863  0.750
F  0.137  0.625  0.250
F  0.375  0.387  0.750
F  0.613  0.125  0.250
Ba  0.000  0.000  0.000
Ba  0.750  0.250  0.500

***

Here is a relaxed structure of BaCu2F from the Alexandria database. Energies are from PBE.

As for the energy relative to the elements, uncorrected: -0.10 eV per atom. Its symmetry is Fm-3m, No. 225.

a = 5.030 Å, b = 5.030 Å, c = 5.030 Å
α = 60.00°, β = 60.00°, γ = 60.00°
Element x y z (fractional)
Ba  0.500  0.500  0.500
Cu  0.750  0.750  0.750
Cu  0.250  0.250  0.250
F  0.000  0.000  0.000

***

Computed N(E_F) (states/eV/atom) in order:
0.66; 0.09; 0.41; 1.76
Computed E_tot (eV/atom) in order:
-4.73; -5.22; -4.35; -3.10